DFT (GGA+U) results for a relaxed structure of Na2FeO2.

abc: 2.9611 4.6063 9.7901
angles: 90.00 90.00 90.00
With the nearest neighbours (Å) after each atom.
Space group Immm (No. 71)
Inequivalent atoms, fractional coordinates:
Na 0.0000 0.0000 0.1825  4 O 2.35-2.36
Fe 0.0000 0.0000 0.5000  4 O 1.96
O 0.0000 0.5000 0.1313  2 Fe 1.96

Properties
Its total DFT energy (no corrections) is -0.351 Ry/atom.